## 1
Entry from Alexandria via LeMat-Bulk: crystalline TiSiSbI2 at its relaxed geometry (GGA-PBE).

## Properties
Crystal system   tetragonal
Size of the total moment   0.06 μB per formula unit
Space-group type   P4/mmm
D(E_F)   1.518 states/eV/atom

a b c (Å): 5.344 5.344 5.438
angles (deg): 90.00 90.00 90.00
Positions (direct):
Ti  0.000  0.000  0.000
Si  0.500  0.500  0.500
Sb  0.500  0.500  0.000
I  0.000  0.500  0.500
I  0.500  0.000  0.500

---

## 2
Entry from Alexandria via LeMat-Bulk: crystalline TiSiSbI2 at its relaxed geometry (GGA-PBE).

## Properties
Crystal system   tetragonal
Size of the total moment   1.17 μB per formula unit
Space-group type   P4/mmm
D(E_F)   1.140 states/eV/atom

a b c (Å): 5.337 5.337 5.636
angles (deg): 90.00 90.00 90.00
Positions (direct):
Ti  0.000  0.000  0.000
Si  0.500  0.500  0.500
Sb  0.000  0.000  0.500
I  0.000  0.500  0.000
I  0.500  0.000  0.000

---

Least stable = 1

---

## 1
Entry from Alexandria via LeMat-Bulk: crystalline VSiSb2I at its relaxed geometry (GGA-PBE).

## Properties
Crystal system   tetragonal
Size of the total moment   1.72 μB per formula unit
Space-group type   P4/mmm
D(E_F)   0.632 states/eV/atom

a b c (Å): 5.065 5.065 5.758
angles (deg): 90.00 90.00 90.00
Positions (direct):
V  0.000  0.000  0.000
Si  0.500  0.500  0.500
Sb  0.000  0.500  0.000
Sb  0.500  0.000  0.000
I  0.000  0.000  0.500

---

## 2
Entry from Alexandria via LeMat-Bulk: crystalline VSiSb2I at its relaxed geometry (GGA-PBE).

## Properties
Crystal system   tetragonal
Size of the total moment   0.16 μB per formula unit
Space-group type   P4/mmm
D(E_F)   1.329 states/eV/atom

a b c (Å): 5.183 5.183 5.338
angles (deg): 90.00 90.00 90.00
Positions (direct):
V  0.000  0.000  0.000
Si  0.500  0.500  0.500
Sb  0.000  0.500  0.500
Sb  0.500  0.000  0.500
I  0.500  0.500  0.000

---

Least stable = 2

---

## 1
Entry from Alexandria via LeMat-Bulk: crystalline SiSb2WI at its relaxed geometry (GGA-PBE).

## Properties
Crystal system   tetragonal
Size of the total moment   1.65 μB per formula unit
Space-group type   P4/mmm
D(E_F)   0.830 states/eV/atom

a b c (Å): 5.182 5.182 5.806
angles (deg): 90.00 90.00 90.00
Positions (direct):
Si  0.000  0.000  0.000
Sb  0.000  0.500  0.500
Sb  0.500  0.000  0.500
W  0.500  0.500  0.500
I  0.500  0.500  0.000

---

## 2
Entry from Alexandria via LeMat-Bulk: crystalline SiSb2WI at its relaxed geometry (GGA-PBE).

## Properties
Crystal system   tetragonal
Size of the total moment   3.08 μB per formula unit
Space-group type   P4/mmm
D(E_F)   0.805 states/eV/atom

a b c (Å): 5.165 5.165 5.242
angles (deg): 90.00 90.00 90.00
Positions (direct):
Si  0.000  0.000  0.000
Sb  0.000  0.500  0.000
Sb  0.500  0.000  0.000
W  0.500  0.500  0.500
I  0.000  0.000  0.500

---

Least stable = 2

---

## 1
Entry from Alexandria via LeMat-Bulk: crystalline SnSbI2 at its relaxed geometry (GGA-PBE).

## Properties
Crystal system   cubic
Size of the total moment   0.00 μB per formula unit
Space-group type   Fm-3m
D(E_F)   1.051 states/eV/atom

a b c (Å): 5.642 5.642 5.642
angles (deg): 60.00 60.00 60.00
Positions (direct):
Sn  0.000  0.000  0.000
Sb  0.500  0.500  0.500
I  0.250  0.250  0.250
I  0.750  0.750  0.750

---

## 2
Entry from Alexandria via LeMat-Bulk: crystalline SnSbI2 at its relaxed geometry (GGA-PBE).

## Properties
Crystal system   tetragonal
Size of the total moment   0.00 μB per formula unit
Space-group type   I-42d
D(E_F)   0.714 states/eV/atom

a b c (Å): 7.255 7.255 7.255
angles (deg): 104.74 104.74 119.41
Positions (direct):
Sn  0.000  0.000  0.000
Sn  0.750  0.250  0.500
Sb  0.250  0.750  0.500
Sb  0.500  0.500  0.000
I  0.125  0.125  0.500
I  0.375  0.875  0.000
I  0.625  0.625  0.500
I  0.875  0.375  0.000

---

Least stable = 1

---

## 1
Entry from Alexandria via LeMat-Bulk: crystalline SrSnSbI2 at its relaxed geometry (GGA-PBE).

## Properties
Crystal system   tetragonal
Size of the total moment   0.98 μB per formula unit
Space-group type   P4/mmm
D(E_F)   0.687 states/eV/atom

a b c (Å): 6.092 6.092 6.639
angles (deg): 90.00 90.00 90.00
Positions (direct):
Sr  0.000  0.000  0.000
Sn  0.500  0.500  0.500
Sb  0.000  0.000  0.500
I  0.000  0.500  0.000
I  0.500  0.000  0.000

---

## 2
Entry from Alexandria via LeMat-Bulk: crystalline SrSnSbI2 at its relaxed geometry (GGA-PBE).

## Properties
Crystal system   tetragonal
Size of the total moment   0.00 μB per formula unit
Space-group type   P4/mmm
D(E_F)   1.076 states/eV/atom

a b c (Å): 5.973 5.973 5.886
angles (deg): 90.00 90.00 90.00
Positions (direct):
Sr  0.000  0.000  0.000
Sn  0.500  0.500  0.500
Sb  0.500  0.500  0.000
I  0.000  0.500  0.500
I  0.500  0.000  0.500

---

Least stable = 1

---

## 1
Entry from Alexandria via LeMat-Bulk: crystalline TcSnSbI2 at its relaxed geometry (GGA-PBE).

## Properties
Crystal system   tetragonal
Size of the total moment   1.23 μB per formula unit
Space-group type   P4/mmm
D(E_F)   1.448 states/eV/atom

a b c (Å): 5.528 5.528 5.136
angles (deg): 90.00 90.00 90.00
Positions (direct):
Tc  0.000  0.000  0.000
Sn  0.500  0.500  0.500
Sb  0.000  0.000  0.500
I  0.000  0.500  0.000
I  0.500  0.000  0.000

---

## 2
Entry from Alexandria via LeMat-Bulk: crystalline TcSnSbI2 at its relaxed geometry (GGA-PBE).

## Properties
Crystal system   tetragonal
Size of the total moment   4.32 μB per formula unit
Space-group type   P4/mmm
D(E_F)   0.813 states/eV/atom

a b c (Å): 5.871 5.871 5.953
angles (deg): 90.00 90.00 90.00
Positions (direct):
Tc  0.000  0.000  0.000
Sn  0.500  0.500  0.500
Sb  0.500  0.500  0.000
I  0.000  0.500  0.500
I  0.500  0.000  0.500

---

Least stable = 2